(1)
First-principles (PBE) data for an optimized crystal structure of Tl3HgH6, as listed in Alexandria via LeMat-Bulk.

POSCAR file:
```
Tl3HgH6
1.0
-2.110 1.864 -6.751
-2.442 -6.794 1.173
-3.615 4.368 4.621
Tl Hg H
6 2 12
Cartesian
-3.225 -3.387 0.325
-3.785 1.949 1.963
-5.101 -1.307 2.512
-3.066 0.743 -3.469
-4.382 -2.512 -2.920
-4.942 2.824 -1.282
0.000 0.000 0.000
-4.084 -0.282 -0.479
-7.203 0.886 -1.130
-1.211 0.864 0.920
-3.177 -0.677 1.179
-0.900 0.374 -1.453
-2.818 -1.306 -1.515
-5.074 -1.920 -0.228
-3.093 1.357 -0.729
-5.349 0.743 0.558
-7.268 -0.937 0.496
-4.990 0.114 -2.136
-6.956 -1.427 -1.877
-0.964 -1.450 0.173
```

Results
DFT total energy   -45.00 eV for the cell shown



(2)
First-principles (PBE) data for an optimized crystal structure of Tl3Hg5H2, as listed in Alexandria via LeMat-Bulk.

POSCAR file:
```
Tl3Hg5H2
1.0
-3.738 -3.436 -5.896
10.552 -1.970 -0.768
-6.500 -0.906 8.694
Tl Hg H
6 10 4
Cartesian
-2.424 -2.045 3.458
4.504 -3.144 1.849
2.739 -4.267 -1.427
-4.189 -3.168 0.181
3.870 -3.539 5.228
-3.555 -2.773 -3.197
0.208 -3.308 -4.667
3.837 -4.352 -4.431
0.107 -3.004 6.697
-3.522 -1.960 6.461
-1.213 -4.364 1.483
1.528 -1.948 0.547
-0.631 -3.767 -1.584
0.947 -2.545 3.614
-1.483 -1.187 0.331
1.798 -5.125 1.700
1.879 -4.338 -4.748
-4.211 -2.451 2.267
-1.563 -1.974 6.778
4.526 -3.861 -0.237
```

Results
DFT total energy   -27.68 eV for the cell shown



(3)
First-principles (PBE) data for an optimized crystal structure of Tl2HgH, as listed in Alexandria via LeMat-Bulk.

POSCAR file:
```
Tl2HgH
1.0
0.760 -4.927 1.386
-1.342 -1.592 4.737
-4.045 -3.168 0.615
H Tl Hg
1 2 1
Cartesian
0.000 0.000 0.000
-1.157 -2.422 1.684
-3.471 -7.265 5.053
-2.314 -4.843 3.369
```

Results
DFT total energy   -6.95 eV for the cell shown



(4)
First-principles (PBE) data for an optimized crystal structure of TlHgH6, as listed in Alexandria via LeMat-Bulk.

POSCAR file:
```
TlHgH6
1.0
-2.874 -0.743 1.420
-2.865 -0.367 -1.577
30.527 -6.934 -0.777
Tl Hg H
1 1 6
Cartesian
0.000 0.000 0.000
15.264 -3.467 -0.389
6.032 -2.185 0.252
6.035 -2.060 -0.748
18.754 -5.985 -0.186
18.757 -5.860 -1.186
21.622 -5.353 -0.606
3.166 -2.692 -0.328
```

Results
DFT total energy   -20.07 eV for the cell shown



The lowest DFT total energy belongs to which entry?
Tl3HgH6



The highest DFT total energy belongs to which entry?
Tl2HgH